(1)
Computed, not measured: crystalline Ca2CeZn at its relaxed geometry at the GGA-PBE level of DFT.

The value obtained for the calculated formation energy is 0.042 eV/atom. The calculation puts the energy relative to the lowest polymorph listed for this composition at 0 meV per atom. The calculation puts the calculated density at 3.85 Mg/m³. For the volume, the calculation gives 123.1 Å³ per cell.

Unit cell a=3.5658 b=3.5658 c=9.6828 alpha=90.00 beta=90.00 gamma=90.00
Last column: nearest neighbours and their distance in Å.
Positions (direct):
Ca  0.0000  0.0000  0.1966  4 Zn 3.16
Ca  0.0000  0.0000  0.8034  4 Zn 3.16
Zn  0.5000  0.5000  0.0000  8 Ca 3.16
Ce  0.5000  0.5000  0.5000  4 Ce 3.57, 8 Ca 3.87

***

(2)
Computed, not measured: crystalline CaCeZn2 at its relaxed geometry at the GGA-PBE level of DFT.

The value obtained for the calculated formation energy is -0.209 eV/atom. The calculation puts the calculated density at 5.29 Mg/m³. For the volume, the calculation gives 97.6 Å³ per cell.

Unit cell a=3.6248 b=3.6248 c=7.4281 alpha=90.00 beta=90.00 gamma=90.00
Last column: nearest neighbours and their distance in Å.
Positions (direct):
Zn  0.0000  0.0000  0.7568  4 Ce 3.14, 4 Ca 3.20
Zn  0.0000  0.0000  0.2432  4 Ce 3.14, 4 Ca 3.20
Ce  0.5000  0.5000  0.0000  8 Zn 3.14
Ca  0.5000  0.5000  0.5000  8 Zn 3.20

***

(3)
Computed, not measured: crystalline CaCeZn at its relaxed geometry at the GGA-PBE level of DFT.

The value obtained for the calculated formation energy is -0.139 eV/atom. The calculation puts the energy relative to the lowest polymorph listed for this composition at 0 meV per atom. The calculation puts the calculated density at 5.02 Mg/m³. For the volume, the calculation gives 162.5 Å³ per cell.

Unit cell a=3.6903 b=3.6813 c=11.9715 alpha=90.01 beta=91.93 gamma=90.00
Last column: nearest neighbours and their distance in Å.
Positions (direct):
Ce  0.7958  0.2912  0.8261  2 Ce 2.77
Ce  0.4491  0.7911  0.6861  2 Ce 2.77
Ca  0.8536  0.2910  0.1291  4 Zn 3.18-3.23
Ca  0.3915  0.7910  0.3833  4 Zn 3.18-3.22
Zn  0.3253  0.7913  0.9737  5 Ce 3.12-3.49, 4 Ca 3.18-3.23
Zn  0.9193  0.2912  0.5386  5 Ce 3.12-3.49, 4 Ca 3.18-3.22

***

(4)
Computed, not measured: crystalline CaCeZn at its relaxed geometry at the GGA-PBE level of DFT.

The value obtained for the calculated formation energy is -0.049 eV/atom. The calculation puts the energy relative to the lowest polymorph listed for this composition at 90 meV per atom. The calculation puts the calculated density at 4.78 Mg/m³. For the volume, the calculation gives 85.4 Å³ per cell.

Unit cell a=3.5299 b=3.5299 c=7.2907 alpha=104.01 beta=104.01 gamma=90.00
Last column: nearest neighbours and their distance in Å.
Positions (direct):
Ce  0.3046  0.3046  0.6092  4 Zn 3.11
Ca  0.0267  0.0267  0.0534  4 Zn 3.17, 4 Ca 3.53
Zn  0.6687  0.6687  0.3375  4 Ce 3.11, 4 Ca 3.17

***

(5)
Computed, not measured: crystalline CaCeZn2 at its relaxed geometry at the GGA-PBE level of DFT.

The value obtained for the calculated formation energy is -0.217 eV/atom. The calculation puts the calculated density at 5.32 Mg/m³. For the volume, the calculation gives 97.1 Å³ per cell.

Unit cell a=5.1586 b=5.1586 c=5.1583 alpha=60.00 beta=60.00 gamma=60.00
Last column: nearest neighbours and their distance in Å.
Positions (direct):
Ce  0.2500  0.2500  0.2500  8 Zn 3.16
Zn  0.5000  0.5000  0.5000  4 Ca 3.16, 4 Ce 3.16
Zn  0.0000  0.0000  0.0000  4 Ce 3.16, 4 Ca 3.16
Ca  0.7500  0.7500  0.7500  8 Zn 3.16

***

(6)
Computed, not measured: crystalline Ca2CeZn3 at its relaxed geometry at the GGA-PBE level of DFT.

The value obtained for the calculated formation energy is -0.217 eV/atom. The calculation puts the energy relative to the lowest polymorph listed for this composition at 3 meV per atom. The calculation puts the calculated density at 4.70 Mg/m³. For the volume, the calculation gives 294.5 Å³ per cell.

Unit cell a=5.1833 b=8.1796 c=7.3243 alpha=90.00 beta=90.00 gamma=71.53
Last column: nearest neighbours and their distance in Å.
Positions (direct):
Zn  0.1674  0.6654  0.7587  3 Ce 3.12-3.14, 5 Ca 3.14-3.21
Zn  0.8328  0.3346  0.7587  3 Ce 3.12-3.14, 5 Ca 3.14-3.21
Zn  0.8326  0.3346  0.2413  3 Ce 3.12-3.14, 5 Ca 3.14-3.21
Zn  0.5001  0.0000  0.7623  6 Ca 3.12-3.23, 2 Ce 3.12, 1 Zn 3.48
Zn  0.4999  0.0000  0.2377  6 Ca 3.12-3.23, 2 Ce 3.12, 1 Zn 3.48
Zn  0.1672  0.6654  0.2413  3 Ce 3.12-3.14, 5 Ca 3.14-3.21
Ca  0.3327  0.3346  0.5000  8 Zn 3.19-3.23
Ca  0.0000  0.0000  0.0000  8 Zn 3.12-3.14
Ca  0.6673  0.6654  0.5000  8 Zn 3.19-3.23
Ca  0.0000  0.0000  0.5000  8 Zn 3.21-3.23
Ce  0.3330  0.3340  0.0000  8 Zn 3.12-3.14
Ce  0.6670  0.6660  0.0000  8 Zn 3.12-3.14